Material: Pm2Ga5Pd4
Method: DFT, PBE-GGA
State: relaxed

Its total magnetization is 0.000 μB per atom. The calculation puts the energy of formation at -0.75 eV/atom.

It has space group Fmmm (No. 69), with a = 5.4611 Å, b = 9.3001 Å, c = 16.5001 Å, α = 90.00°, β = 90.00° and γ = 90.00°. Symmetry generates all atoms from Pm at (0.0000, 0.0000, 0.1259), Ga at (0.0000, 0.0000, 0.5000), Ga at (0.2500, 0.2500, 0.0000), Ga at (0.2500, 0.2500, 0.2500) and Pd at (0.0000, 0.1605, 0.3692).